No. 1
Below is a relaxed structure of OsWAu2, with properties calculated at the PBE-GGA level.

abc: 4.750 4.750 2.914
angles: 90.00 90.00 90.00
Fractional positions:
Au  0.500  0.500  0.000
W  0.000  0.500  0.500
Au  0.000  0.000  0.000
Os  0.500  0.000  0.500

## Properties
The energy relative to the lowest polymorph listed for this composition comes out at 601.5 meV/atom. The energy relative to the elements comes out at 0.818 eV per atom. Its total energy is -0.2523 Ha/atom. For the calculated volume, the calculation gives 65.7 Å³ per cell.

***

No. 2
Below is a relaxed structure of OsWAu2, with properties calculated at the PBE-GGA level.

abc: 4.895 4.895 4.943
angles: 79.82 79.82 34.38
Fractional positions:
Au  0.754  0.754  0.757
Os  0.508  0.508  0.472
Au  0.996  0.996  0.995
W  0.242  0.242  0.277

## Properties
The energy relative to the lowest polymorph listed for this composition comes out at 241.3 meV/atom. The energy relative to the elements comes out at 0.458 eV per atom. Its total energy is -0.2656 Ha/atom. For the calculated volume, the calculation gives 65.7 Å³ per cell.

***

No. 3
Below is a relaxed structure of Os2WAu, with properties calculated at the PBE-GGA level.

abc: 4.855 4.855 4.880
angles: 79.78 79.78 33.66
Fractional positions:
Os  0.487  0.487  0.525
Os  0.013  0.013  0.975
W  0.750  0.750  0.750
Au  0.250  0.250  0.250

## Properties
The energy relative to the lowest polymorph listed for this composition comes out at 56.7 meV/atom. The energy relative to the elements comes out at 0.327 eV per atom. Its total energy is -0.3434 Ha/atom. For the calculated volume, the calculation gives 62.6 Å³ per cell.

***

No. 4
Below is a relaxed structure of OsW4Au2, with properties calculated at the PBE-GGA level.

abc: 4.767 4.767 7.301
angles: 70.94 70.94 90.00
Fractional positions:
Au  0.616  0.616  0.768
Au  0.384  0.384  0.232
Os  0.000  0.000  0.000
W  0.815  0.815  0.370
W  0.500  0.000  0.000
W  0.185  0.185  0.630
W  0.000  0.500  0.000

## Properties
The energy relative to the elements comes out at 1.783 eV per atom. Its total energy is -0.2999 Ha/atom. For the calculated volume, the calculation gives 147.2 Å³ per cell.

***

No. 5
Below is a relaxed structure of Os2WAu, with properties calculated at the PBE-GGA level.

abc: 2.819 3.884 5.702
angles: 90.00 90.00 90.00
Fractional positions:
Au  0.500  0.500  0.750
Os  0.000  0.000  0.483
Os  0.000  0.000  0.017
W  0.500  0.500  0.250

## Properties
The energy relative to the lowest polymorph listed for this composition comes out at 95.7 meV/atom. The energy relative to the elements comes out at 0.366 eV per atom. Its total energy is -0.3420 Ha/atom. For the calculated volume, the calculation gives 62.4 Å³ per cell.

***

No. 6
Below is a relaxed structure of OsW4Au, with properties calculated at the PBE-GGA level.

abc: 5.226 5.226 5.226
angles: 60.00 60.00 60.00
Fractional positions:
W  0.376  0.871  0.376
W  0.376  0.376  0.376
Au  0.750  0.750  0.750
W  0.871  0.376  0.376
Os  0.000  0.000  0.000
W  0.376  0.376  0.871

## Properties
The energy relative to the elements comes out at 0.605 eV per atom. Its total energy is -0.3840 Ha/atom. For the calculated volume, the calculation gives 100.9 Å³ per cell.

***

No. 7
Below is a relaxed structure of Os2WAu, with properties calculated at the PBE-GGA level.

abc: 3.807 4.018 4.018
angles: 90.00 90.00 90.00
Fractional positions:
Os  0.000  0.500  0.500
Os  0.000  0.000  0.000
Au  0.500  0.000  0.500
W  0.500  0.500  0.000

## Properties
The energy relative to the lowest polymorph listed for this composition comes out at 132.9 meV/atom. The energy relative to the elements comes out at 0.403 eV per atom. Its total energy is -0.3406 Ha/atom. For the calculated volume, the calculation gives 61.5 Å³ per cell.

***

No. 8
Below is a relaxed structure of OsWAu2, with properties calculated at the PBE-GGA level.

abc: 5.012 5.012 2.877
angles: 90.00 90.00 115.13
Fractional positions:
Au  0.500  0.500  0.000
Os  0.500  0.000  0.500
Au  0.000  0.000  0.000
W  0.000  0.500  0.500

## Properties
The energy relative to the lowest polymorph listed for this composition comes out at 419.8 meV/atom. The energy relative to the elements comes out at 0.636 eV per atom. Its total energy is -0.2590 Ha/atom. For the calculated volume, the calculation gives 65.4 Å³ per cell.

***

No. 9
Below is a relaxed structure of OsWAu2, with properties calculated at the PBE-GGA level.

abc: 4.904 4.904 4.904
angles: 131.57 131.57 70.91
Fractional positions:
Os  0.500  0.500  0.000
Au  0.250  0.750  0.500
W  0.750  0.250  0.500
Au  0.000  0.000  0.000

## Properties
The energy relative to the lowest polymorph listed for this composition comes out at 234.3 meV/atom. The energy relative to the elements comes out at 0.451 eV per atom. Its total energy is -0.2658 Ha/atom. For the calculated volume, the calculation gives 64.7 Å³ per cell.

***

No. 10
Below is a relaxed structure of Os2WAu, with properties calculated at the PBE-GGA level.

abc: 2.783 2.783 8.130
angles: 90.00 90.00 90.00
Fractional positions:
Au  0.500  0.500  0.751
Os  0.000  0.000  0.023
Os  0.500  0.500  0.233
W  0.000  0.000  0.493

## Properties
The energy relative to the lowest polymorph listed for this composition comes out at 30.1 meV/atom. The energy relative to the elements comes out at 0.300 eV per atom. Its total energy is -0.3444 Ha/atom. For the calculated volume, the calculation gives 63.0 Å³ per cell.

***

No. 11
Below is a relaxed structure of OsWAu, with properties calculated at the PBE-GGA level.

abc: 4.912 4.912 4.912
angles: 146.20 133.12 59.04
Fractional positions:
Au  0.000  0.000  0.000
W  0.676  0.676  0.000
Os  0.325  0.325  0.000

## Properties
The energy relative to the lowest polymorph listed for this composition comes out at 28.2 meV/atom. The energy relative to the elements comes out at 0.307 eV per atom. Its total energy is -0.3251 Ha/atom. For the calculated volume, the calculation gives 47.7 Å³ per cell.

***

No. 12
Below is a relaxed structure of OsWAu2, with properties calculated at the PBE-GGA level.

abc: 5.975 5.975 6.858
angles: 64.17 64.17 90.00
Fractional positions:
Au  0.375  0.375  0.750
Os  0.750  0.250  0.500
Au  0.625  0.125  0.250
W  0.250  0.750  0.500
Au  0.125  0.625  0.250
Au  0.875  0.875  0.750
W  0.500  0.500  0.000
Os  0.000  0.000  0.000

## Properties
The energy relative to the lowest polymorph listed for this composition comes out at 1809.8 meV/atom. The energy relative to the elements comes out at 2.026 eV per atom. Its total energy is -0.2079 Ha/atom. For the calculated volume, the calculation gives 192.9 Å³ per cell.

***

No. 13
Below is a relaxed structure of OsWAu2, with properties calculated at the PBE-GGA level.

abc: 2.884 3.897 5.879
angles: 90.00 90.00 90.00
Fractional positions:
W  0.500  0.500  0.724
Au  0.500  0.500  0.252
Os  0.000  0.000  0.527
Au  0.000  0.000  0.998

## Properties
The energy relative to the lowest polymorph listed for this composition comes out at 110.5 meV/atom. The energy relative to the elements comes out at 0.327 eV per atom. Its total energy is -0.2704 Ha/atom. For the calculated volume, the calculation gives 66.1 Å³ per cell.

***

No. 14
Below is a relaxed structure of Os2WAu, with properties calculated at the PBE-GGA level.

abc: 2.802 2.802 8.010
angles: 90.00 90.00 90.00
Fractional positions:
Os  0.000  0.000  0.015
Au  0.500  0.500  0.750
W  0.500  0.500  0.250
Os  0.000  0.000  0.485

## Properties
The energy relative to the lowest polymorph listed for this composition comes out at 110.4 meV/atom. The energy relative to the elements comes out at 0.381 eV per atom. Its total energy is -0.3415 Ha/atom. For the calculated volume, the calculation gives 62.9 Å³ per cell.

***

No. 15
Below is a relaxed structure of OsW3Au, with properties calculated at the PBE-GGA level.

abc: 4.735 4.735 4.735
angles: 90.00 90.00 90.00
Fractional positions:
W  0.000  0.500  0.000
W  0.500  0.000  0.000
W  0.000  0.000  0.500
Au  0.500  0.500  0.500
Os  0.000  0.000  0.000

## Properties
The energy relative to the lowest polymorph listed for this composition comes out at 0.0 meV/atom. The energy relative to the elements comes out at 1.918 eV per atom. Its total energy is -0.3217 Ha/atom. For the calculated volume, the calculation gives 106.2 Å³ per cell.